(1)
The following is a PBE-GGA calculation of an optimized crystal structure of HfNbPd, from Alexandria.

Structure (POSCAR):
```
HfNbPd
1.0
4.7251 0.0000 0.0000
-2.3625 4.0920 0.0000
0.0000 0.0000 2.8854
Hf Nb Pd
1 1 1
Direct
0.0000 0.0000 0.0000 Hf
0.3333 0.6667 0.5000 Nb
0.6667 0.3333 0.5000 Pd
```

Computed properties:
- DFT total energy (eV/atom) = -8.4544
- density (g/cm3) = 11.25
- ΔH_f (0 K) (eV per atom) = -0.049
- volume (Å³/atom) = 18.6
- energy above the lowest structure with this stoichiometry (meV/atom) = 410


(2)
The following is a PBE-GGA calculation of an optimized crystal structure of NbPS2F, from Alexandria.

Structure (POSCAR):
```
NbPS2F
1.0
4.7073 0.0000 0.0000
0.0000 4.7073 0.0000
0.0000 0.0000 3.6242
Nb P S F
1 1 2 1
Direct
0.0000 0.0000 0.0000 Nb
0.5000 0.5000 0.0000 P
0.0000 0.5000 0.5000 S
0.5000 0.0000 0.5000 S
0.5000 0.5000 0.5000 F
```

Computed properties:
- DFT total energy (eV/atom) = -4.6078
- density (g/cm3) = 4.28
- formation energy without anion corrections (meV per atom) = 513
- volume (Å³/atom) = 16.1
- energy above the lowest structure with this stoichiometry (meV/atom) = 610


(3)
The following is a PBE-GGA calculation of an optimized crystal structure of Y4Ho6Tm, from Alexandria.

Structure (POSCAR):
```
Y4Ho6Tm
1.0
-3.2609 3.2609 8.5104
3.2609 -3.2609 8.5104
3.2609 3.2609 -8.5104
Y Ho Tm
4 6 1
Direct
0.1390 0.1390 0.6263 Y
0.4872 0.8610 0.0000 Y
0.5128 0.5128 0.3737 Y
0.8610 0.4872 0.0000 Y
0.0000 0.5000 0.5000 Ho
0.0495 0.6919 0.0000 Ho
0.3081 0.3081 0.3575 Ho
0.5000 0.0000 0.5000 Ho
0.6919 0.0495 0.0000 Ho
0.9505 0.9505 0.6425 Ho
0.5000 0.5000 0.0000 Tm
```

Computed properties:
- DFT total energy (eV/atom) = -4.9594
- density (g/cm3) = 6.95
- ΔH_f (0 K) (eV per atom) = 0.295
- volume (Å³/atom) = 32.9


(4)
The following is a PBE-GGA calculation of an optimized crystal structure of HoHfFeCo, from Alexandria.

Structure (POSCAR):
```
HoHfFeCo
1.0
0.0000 3.2193 3.2193
3.2193 0.0000 3.2193
3.2193 3.2193 0.0000
Ho Hf Fe Co
1 1 1 1
Direct
0.0000 0.0000 0.0000 Ho
0.5000 0.5000 0.5000 Hf
0.2500 0.2500 0.2500 Fe
0.7500 0.7500 0.7500 Co
```

Computed properties:
- DFT total energy (eV/atom) = -7.6667
- density (g/cm3) = 11.40
- ΔH_f (0 K) (eV per atom) = -0.142
- volume (Å³/atom) = 16.7


(5)
The following is a PBE-GGA calculation of an optimized crystal structure of CrSn3B, from Alexandria.

Structure (POSCAR):
```
CrSn3B
1.0
4.7465 0.0000 0.0000
0.0000 4.7465 0.0000
0.0000 0.0000 4.7465
Cr Sn B
1 3 1
Direct
0.0000 0.0000 0.0000 Cr
0.0000 0.5000 0.5000 Sn
0.5000 0.0000 0.5000 Sn
0.5000 0.5000 0.0000 Sn
0.5000 0.5000 0.5000 B
```

Computed properties:
- DFT total energy (eV/atom) = -4.4359
- density (g/cm3) = 6.51
- ΔH_f (0 K) (eV per atom) = 1.226
- volume (Å³/atom) = 21.4
- energy above the lowest structure with this stoichiometry (meV/atom) = 91


(6)
The following is a PBE-GGA calculation of an optimized crystal structure of Sr3Hg2, from Alexandria.

Structure (POSCAR):
```
Sr3Hg2
1.0
3.9905 2.3039 7.4880
-3.9905 2.3039 7.4880
0.0000 -4.6079 7.4880
Sr Hg
6 4
Direct
0.1191 0.7500 0.3809 Sr
0.2500 0.6191 0.8809 Sr
0.3809 0.1191 0.7500 Sr
0.6191 0.8809 0.2500 Sr
0.7500 0.3809 0.1191 Sr
0.8809 0.2500 0.6191 Sr
0.1793 0.1793 0.1793 Hg
0.3207 0.3207 0.3207 Hg
0.6793 0.6793 0.6793 Hg
0.8207 0.8207 0.8207 Hg
```

Computed properties:
- DFT total energy (eV/atom) = -1.4940
- density (g/cm3) = 5.34
- ΔH_f (0 K) (eV per atom) = -0.364
- volume (Å³/atom) = 41.3
- energy above the lowest structure with this stoichiometry (meV/atom) = 83


(7)
The following is a PBE-GGA calculation of an optimized crystal structure of AcPrGaCo, from Alexandria.

Structure (POSCAR):
```
AcPrGaCo
1.0
0.0000 3.7327 3.7327
3.7327 0.0000 3.7327
3.7327 3.7327 0.0000
Ac Pr Ga Co
1 1 1 1
Direct
0.0000 0.0000 0.0000 Ac
0.5000 0.5000 0.5000 Pr
0.2500 0.2500 0.2500 Ga
0.7500 0.7500 0.7500 Co
```

Computed properties:
- DFT total energy (eV/atom) = -4.8564
- density (g/cm3) = 7.93
- ΔH_f (0 K) (eV per atom) = -0.101
- volume (Å³/atom) = 26.0


(8)
The following is a PBE-GGA calculation of an optimized crystal structure of NdGa3Fe, from Alexandria.

Structure (POSCAR):
```
NdGa3Fe
1.0
6.2111 0.0000 0.0000
-3.1056 5.3790 0.0000
0.0000 0.0000 5.5483
Nd Ga Fe
2 6 2
Direct
0.3333 0.6667 0.2500 Nd
0.6667 0.3333 0.7500 Nd
0.1887 0.3775 0.7500 Ga
0.1887 0.8113 0.7500 Ga
0.3775 0.1887 0.2500 Ga
0.6225 0.8113 0.7500 Ga
0.8113 0.1887 0.2500 Ga
0.8113 0.6225 0.2500 Ga
0.0000 0.0000 0.0000 Fe
0.0000 0.0000 0.5000 Fe
```

Computed properties:
- DFT total energy (eV/atom) = -4.8908
- density (g/cm3) = 7.33
- ΔH_f (0 K) (eV per atom) = -0.429
- volume (Å³/atom) = 18.5
- energy above the lowest structure with this stoichiometry (meV/atom) = 0